Below is crystalline Ca5Ag2Pd2 at its relaxed geometry, with properties calculated at the PBE-GGA level.

Output
* E: -3.3623 eV/atom
* crystal system: orthorhombic
* energy of formation from the pure elements: -463 meV/atom

abc: 8.764 8.764 7.843
angles: 90.00 90.00 53.11
Atoms (fractional coordinates):
Ca 0.000 0.000 0.000
Ca 0.042 0.699 0.669
Ca 0.199 0.542 0.169
Ca 0.301 0.958 0.669
Ca 0.458 0.801 0.169
Ca 0.500 0.500 0.500
Ca 0.542 0.199 0.831
Ca 0.699 0.042 0.331
Ca 0.801 0.458 0.831
Ca 0.958 0.301 0.331
Ag 0.208 0.208 0.000
Ag 0.292 0.292 0.500
Ag 0.708 0.708 0.500
Ag 0.792 0.792 0.000
Pd 0.125 0.875 0.374
Pd 0.375 0.625 0.874
Pd 0.625 0.375 0.126
Pd 0.875 0.125 0.626

Below is crystalline CaAg6Pd4 at its relaxed geometry, with properties calculated at the PBE-GGA level.

Output
* E: -3.5011 eV/atom
* crystal system: tetragonal
* energy of formation from the pure elements: 124 meV/atom

abc: 6.982 6.982 6.982
angles: 122.92 122.92 85.01
Atoms (fractional coordinates):
Ca 0.000 0.000 0.000
Ag 0.000 0.500 0.500
Ag 0.243 0.243 0.694
Ag 0.451 0.757 0.000
Ag 0.500 0.000 0.500
Ag 0.549 0.549 0.306
Ag 0.757 0.451 0.000
Pd 0.100 0.583 0.000
Pd 0.417 0.417 0.516
Pd 0.583 0.100 0.000
Pd 0.900 0.900 0.484

Below is crystalline Ca3AgPd3 at its relaxed geometry, with properties calculated at the PBE-GGA level.

Output
* E: -4.0962 eV/atom
* crystal system: orthorhombic
* energy of formation from the pure elements: -606 meV/atom

abc: 5.666 5.666 14.231
angles: 90.00 90.00 135.35
Atoms (fractional coordinates):
Ca 0.028 0.972 0.750
Ca 0.306 0.694 0.601
Ca 0.306 0.694 0.899
Ca 0.694 0.306 0.101
Ca 0.694 0.306 0.399
Ca 0.972 0.028 0.250
Ag 0.000 0.000 0.000
Ag 0.000 0.000 0.500
Pd 0.255 0.745 0.250
Pd 0.404 0.596 0.096
Pd 0.404 0.596 0.404
Pd 0.596 0.404 0.596
Pd 0.596 0.404 0.904
Pd 0.745 0.255 0.750

- Number 3 is which compound?
  Ca3AgPd3

- What is the energy of formation from the pure elements in the second record?
  124 meV/atom

- Look up the energy of formation from the pure elements of the first one.
  -463 meV/atom

Copy entry 2 word for word.
Below is crystalline CaAg6Pd4 at its relaxed geometry, with properties calculated at the PBE-GGA level.

Output
* E: -3.5011 eV/atom
* crystal system: tetragonal
* energy of formation from the pure elements: 124 meV/atom

abc: 6.982 6.982 6.982
angles: 122.92 122.92 85.01
Atoms (fractional coordinates):
Ca 0.000 0.000 0.000
Ag 0.000 0.500 0.500
Ag 0.243 0.243 0.694
Ag 0.451 0.757 0.000
Ag 0.500 0.000 0.500
Ag 0.549 0.549 0.306
Ag 0.757 0.451 0.000
Pd 0.100 0.583 0.000
Pd 0.417 0.417 0.516
Pd 0.583 0.100 0.000
Pd 0.900 0.900 0.484